[1]
# AgTe2Se

An optimized crystal structure of AgTe2Se (GGA-PBE, Alexandria).

Values from the calculation:
For the total energy, the calculation gives -11.777 eV/cell. The value obtained for the total magnetization is 0.00 μB per formula unit. Its uncorrected formation energy is 0.211 eV/atom.

The structure in extended XYZ format:
```
4
Lattice="-1.7047 3.5241 -0.5925 -6.5553 -2.6411 3.1516 1.2541 1.2166 3.6282" Properties=species:S:1:pos:R:3 pbc="T T T"
Ag -0.2253 2.3703 1.5179
Se -2.6506 -0.7123 3.3899
Te -4.1300 0.4415 1.2796
Te 0.0000 0.0000 0.0000
```

---

[2]
# AgTeSe2

An optimized crystal structure of AgTeSe2 (GGA-PBE, Alexandria).

Values from the calculation:
For the total energy, the calculation gives -12.143 eV/cell. The value obtained for the total magnetization is 0.00 μB per formula unit. Its uncorrected formation energy is 0.205 eV/atom.

The structure in extended XYZ format:
```
4
Lattice="-1.0892 -2.6134 0.7551 2.2760 -0.4312 1.7945 -6.3342 5.3311 9.3147" Properties=species:S:1:pos:R:3 pbc="T T T"
Se -3.6326 3.0574 5.3420
Se -5.8686 4.9393 8.6300
Ag -4.1572 2.4760 8.2608
Te -0.9901 -0.1895 3.6035
```

---

[3]
# AgTe2Se

An optimized crystal structure of AgTe2Se (GGA-PBE, Alexandria).

Values from the calculation:
For the total energy, the calculation gives -12.448 eV/cell. The value obtained for the total magnetization is 0.00 μB per formula unit. Its uncorrected formation energy is 0.043 eV/atom.

The structure in extended XYZ format:
```
4
Lattice="4.1525 0.0000 0.0000 0.0000 5.1694 0.0699 0.0000 1.5237 4.9386" Properties=species:S:1:pos:R:3 pbc="T T T"
Te 0.0000 3.3050 2.4731
Te 0.0000 0.0415 0.0312
Se 2.0763 5.0199 3.7564
Ag 2.0763 1.6733 1.2521
```

---

[4]
# Ag7Te4Se

An optimized crystal structure of Ag7Te4Se (GGA-PBE, Alexandria).

Values from the calculation:
For the total energy, the calculation gives -34.758 eV/cell. The value obtained for the total magnetization is 0.00 μB per formula unit. Its uncorrected formation energy is 0.104 eV/atom.

The structure in extended XYZ format:
```
12
Lattice="-2.5971 3.4551 2.5191 -2.3304 -5.1014 9.5619 4.0391 4.8683 2.4547" Properties=species:S:1:pos:R:3 pbc="T T T"
Se 0.0000 0.0000 0.0000
Ag 0.7759 2.0407 7.9363
Ag -1.6642 1.1813 6.5994
Ag -1.4431 -3.2066 7.8779
Ag -1.2985 1.7275 1.2596
Ag 0.7245 1.7245 3.3493
Ag 0.5548 6.4286 6.6578
Ag -1.6128 1.4975 11.1864
Te -1.2126 -0.2390 9.0129
Te 0.3243 3.4610 5.5228
Te -1.0422 -0.2609 4.2511
Te 0.1539 3.4829 10.2846
```